Entry 1:
Pu7RuRh5: relaxed, GGA-PBE.

Crystal system: orthorhombic
Calculated formation energy: -185.3 meV per atom
N(E_F): 3.8409 states/eV/atom
V: 258.33 Å³ per cell

Structure (POSCAR):
```
Pu7RuRh5
1.0
-2.780 5.116 4.541
2.780 -5.116 4.541
2.780 5.116 -4.541
Pu Ru Rh
7 1 5
Direct
0.000 0.000 0.000
0.109 0.609 0.500
0.138 0.805 0.333
0.408 0.408 0.000
0.472 0.805 0.667
0.669 0.318 0.351
0.968 0.318 0.649
0.722 0.722 0.000
0.331 0.314 0.521
0.331 0.810 0.016
0.553 0.053 0.500
0.793 0.314 0.984
0.793 0.810 0.479
```

Entry 2:
Pu8RuRh5: relaxed, GGA-PBE.

Crystal system: tetragonal
Calculated formation energy: -333.1 meV per atom
N(E_F): 3.9601 states/eV/atom
V: 304.65 Å³ per cell

Structure (POSCAR):
```
Pu8RuRh5
1.0
-4.228 4.228 4.262
4.228 -4.228 4.262
4.228 4.228 -4.262
Pu Ru Rh
8 1 5
Direct
0.125 0.237 0.755
0.128 0.740 0.759
0.260 0.019 0.388
0.482 0.370 0.245
0.630 0.875 0.112
0.631 0.872 0.612
0.763 0.518 0.888
0.981 0.369 0.241
0.000 0.000 0.000
0.257 0.634 0.134
0.366 0.500 0.624
0.500 0.123 0.866
0.750 0.250 0.500
0.877 0.743 0.376
```

Entry 3:
Pu12Ru6Rh: relaxed, GGA-PBE.

Crystal system: trigonal
Calculated formation energy: -51.2 meV per atom
N(E_F): 2.9121 states/eV/atom
V: 374.88 Å³ per cell

Structure (POSCAR):
```
Pu12Ru6Rh
1.0
5.399 3.117 3.712
-5.399 3.117 3.712
0.000 -6.235 3.712
Pu Ru Rh
12 6 1
Direct
0.022 0.898 0.326
0.100 0.412 0.342
0.102 0.674 0.978
0.326 0.022 0.898
0.342 0.100 0.412
0.412 0.342 0.100
0.588 0.658 0.900
0.658 0.900 0.588
0.674 0.978 0.102
0.898 0.326 0.022
0.900 0.588 0.658
0.978 0.102 0.674
0.253 0.392 0.740
0.260 0.747 0.608
0.392 0.740 0.253
0.608 0.260 0.747
0.740 0.253 0.392
0.747 0.608 0.260
0.500 0.500 0.500
```

Entry 4:
SmPuRuRh: relaxed, GGA-PBE.

Crystal system: cubic
Calculated formation energy: -337.3 meV per atom
N(E_F): 1.8045 states/eV/atom
V: 326.04 Å³ per cell

Structure (POSCAR):
```
SmPuRuRh
1.0
6.883 0.000 0.000
0.000 6.883 0.000
0.000 0.000 6.883
Sm Pu Ru Rh
4 4 4 4
Direct
0.000 0.000 0.000
0.000 0.500 0.500
0.500 0.000 0.500
0.500 0.500 0.000
0.000 0.000 0.500
0.000 0.500 0.000
0.500 0.000 0.000
0.500 0.500 0.500
0.250 0.250 0.250
0.250 0.750 0.750
0.750 0.250 0.750
0.750 0.750 0.250
0.250 0.250 0.750
0.250 0.750 0.250
0.750 0.250 0.250
0.750 0.750 0.750
```

| no. | raw total energy (eV per atom) |
| --- | --- |
| 1 | -11.444 |
| 2 | -11.811 |
| 3 | -12.419 |
| 4 | -9.257 |